1.
VASP calculation (PBE) on TcIr2Os after structural relaxation.

Cell lengths 5.551, 5.551, 11.188 Å; angles 90.00, 90.00, 90.00 degrees
Space group I-42d (No. 122)
Asymmetric unit:
1 Tc 0.000 0.000 0.000 (multiplicity 4)
2 Ir 0.248 0.250 0.625 (multiplicity 8)
3 Os 0.000 0.000 0.500 (multiplicity 4)

Properties
ρ, g/cm³: 13.0
Total DFT energy (no corrections), eV/f.u.: -35.2
DFT formation energy, eV/atom: 1.022

---

2.
VASP calculation (PBE) on TcIr2Os after structural relaxation.

Cell lengths 5.435, 5.445, 7.796 Å; angles 90.00, 90.00, 90.00 degrees
Space group Fmmm (No. 69)
Asymmetric unit:
1 Tc 0.000 0.000 0.000 (multiplicity 4)
2 Ir 0.250 0.250 0.250 (multiplicity 8)
3 Os 0.000 0.000 0.500 (multiplicity 4)

Properties
ρ, g/cm³: 19.4
Total DFT energy (no corrections), eV/f.u.: -39.6
DFT formation energy, eV/atom: -0.072

---

3.
VASP calculation (PBE) on Tc6Ir2Os after structural relaxation.

Cell lengths 10.157, 9.037, 7.021 Å; angles 90.00, 124.10, 90.00 degrees
Space group C2/c (No. 15)
Asymmetric unit:
1 Tc 0.027 0.126 0.445 (multiplicity 8)
2 Tc 0.098 0.420 0.184 (multiplicity 8)
3 Tc 0.223 0.335 0.643 (multiplicity 8)
4 Ir 0.198 0.101 0.938 (multiplicity 8)
5 Os 0.000 0.326 0.750 (multiplicity 4)

Properties
ρ, g/cm³: 14.5
Total DFT energy (no corrections), eV/f.u.: -90.7
DFT formation energy, eV/atom: 0.045

---

4.
VASP calculation (PBE) on TcIr4Os3 after structural relaxation.

Cell lengths 12.324, 4.412, 4.756 Å; angles 90.00, 112.00, 90.00 degrees
Space group C2/m (No. 12)
Asymmetric unit:
1 Tc 0.000 0.000 0.000 (multiplicity 2)
2 Ir 0.133 0.000 0.568 (multiplicity 4)
3 Ir 0.248 0.500 0.825 (multiplicity 4)
4 Os 0.000 0.500 0.500 (multiplicity 2)
5 Os 0.138 0.500 0.211 (multiplicity 4)

Properties
ρ, g/cm³: 19.9
Total DFT energy (no corrections), eV/f.u.: -77.0
DFT formation energy, eV/atom: 0.317